{"formula": "Ti2GaCu2", "functional": "meta-GGA SCAN", "state": "PBEsol geometry", "space_group": "No. 127", "formation_energy_ev_per_atom": -0.283, "magnetic_moment_mub_per_cell": 0.001, "mass_density_g_cm3": 6.85, "cell": [[6.604, 0.000, 0.000], [0.000, 6.604, 0.000], [0.000, 0.000, 3.251]], "species": ["Ti", "Ti", "Ti", "Ti", "Ga", "Ga", "Cu", "Cu", "Cu", "Cu"], "fractional_positions": [[0.172, 0.328, 0.000], [0.328, 0.828, 0.000], [0.672, 0.172, 0.000], [0.828, 0.672, 0.000], [0.000, 0.000, 0.500], [0.500, 0.500, 0.500], [0.127, 0.627, 0.500], [0.373, 0.127, 0.500], [0.627, 0.873, 0.500], [0.873, 0.373, 0.500]]}


{"formula": "HgSbPb", "functional": "meta-GGA SCAN", "state": "PBEsol geometry", "space_group": "No. 8", "relative_energy_ev_per_atom": 0.0292, "formation_energy_uncorrected_mev_per_atom": 105.6, "magnetic_moment_mub_per_cell": 0.000, "mass_density_g_cm3": 11.02, "cell": [[2.051, -2.643, 0.000], [2.051, 2.643, 0.000], [-1.998, 0.000, 7.360]], "species": ["Hg", "Sb", "Pb"], "fractional_positions": [[0.000, 0.000, 0.000], [0.333, 0.333, 0.679], [0.672, 0.672, 0.335]]}


{"formula": "Zn2CrIn", "functional": "meta-GGA SCAN", "state": "PBEsol geometry", "space_group": "No. 166", "formation_energy_ev_per_atom": 0.436, "magnetic_moment_mub_per_cell": 0.000, "mass_density_g_cm3": 7.80, "cell": [[1.420, 0.820, 9.071], [-1.420, 0.820, 9.071], [0.000, -1.639, 9.071]], "species": ["Zn", "Zn", "Cr", "In"], "fractional_positions": [[0.240, 0.240, 0.240], [0.760, 0.760, 0.760], [0.500, 0.500, 0.500], [0.000, 0.000, 0.000]]}


{"formula": "TlCdPb2", "functional": "meta-GGA SCAN", "state": "PBEsol geometry", "space_group": "No. 216", "formation_energy_ev_per_atom": 0.053, "relative_energy_ev_per_atom": 0.0269, "magnetic_moment_mub_per_cell": 0.000, "mass_density_g_cm3": 10.95, "cell": [[0.000, 3.813, 3.813], [3.813, 0.000, 3.813], [3.813, 3.813, 0.000]], "species": ["Tl", "Cd", "Pb", "Pb"], "fractional_positions": [[0.000, 0.000, 0.000], [0.250, 0.250, 0.250], [0.500, 0.500, 0.500], [0.750, 0.750, 0.750]]}


{"formula": "Sc2BeNi", "functional": "meta-GGA SCAN", "state": "PBEsol geometry", "space_group": "No. 216", "formation_energy_ev_per_atom": -0.126, "magnetic_moment_mub_per_cell": 0.000, "mass_density_g_cm3": 4.59, "cell": [[0.000, 3.054, 3.054], [3.054, 0.000, 3.054], [3.054, 3.054, 0.000]], "species": ["Sc", "Sc", "Be", "Ni"], "fractional_positions": [[0.000, 0.000, 0.000], [0.250, 0.250, 0.250], [0.750, 0.750, 0.750], [0.500, 0.500, 0.500]]}


{"formula": "SiAsOs2", "functional": "meta-GGA SCAN", "state": "PBEsol geometry", "space_group": "No. 225", "relative_energy_ev_per_atom": 0.0000, "formation_energy_uncorrected_mev_per_atom": 57.1, "magnetic_moment_mub_per_cell": 0.000, "mass_density_g_cm3": 14.86, "cell": [[0.000, 3.001, 3.001], [3.001, 0.000, 3.001], [3.001, 3.001, 0.000]], "species": ["Si", "As", "Os", "Os"], "fractional_positions": [[0.000, 0.000, 0.000], [0.500, 0.500, 0.500], [0.250, 0.250, 0.250], [0.750, 0.750, 0.750]]}


no.,total DFT energy (no corrections) (eV/atom)
1,-16.04
2,-60.30
3,-19.26
4,-63.53
5,-12.38
6,-43.43